This record from OQMD describes a relaxed SmGaPO crystal. The functional is PBE.

The space group is Pmc2_1 (26). The value obtained for the total DFT energy (no corrections) is -6.0007 eV/atom.

a = 4.4921 Å, b = 4.5093 Å, c = 6.6064 Å
α = 90.00°, β = 90.00°, γ = 90.00°
Fractional positions:
Ga (0.0000, 0.8345, 0.4360)
P (0.0000, 0.6649, 0.7868)
P (0.0000, 0.3351, 0.2868)
Sm (0.5000, 0.3143, 0.5917)
O (0.5000, 0.8244, 0.4395)
O (0.5000, 0.1756, 0.9395)
Ga (0.0000, 0.1655, 0.9360)
Sm (0.5000, 0.6857, 0.0917)